1.
Entry from Alexandria via LeMat-Bulk: TaCuC2 after structural relaxation (PBEsol).

## Properties
- ΔE_f: 1.023 eV/atom

abc: 3.793 3.793 3.793
angles: 60.00 60.00 60.00
Sites, in units of the cell vectors:
1 Ta 0.000 0.000 0.000
2 Cu 0.500 0.500 0.500
3 C 0.250 0.250 0.250
4 C 0.750 0.750 0.750

2.
Entry from Alexandria via LeMat-Bulk: Na3Eu2Si2Te6 after structural relaxation (PBEsol).

## Properties
- Formation energy (no corrections): -0.8123 eV per atom

abc: 7.599 7.599 8.283
angles: 98.79 98.79 119.95
Sites, in units of the cell vectors:
1 Na 0.000 0.000 0.000
2 Na 0.332 0.668 0.000
3 Na 0.668 0.332 0.000
4 Eu 0.167 0.833 0.500
5 Eu 0.833 0.167 0.500
6 Si 0.450 0.450 0.350
7 Si 0.550 0.550 0.650
8 Te 0.096 0.419 0.256
9 Te 0.258 0.258 0.744
10 Te 0.419 0.096 0.256
11 Te 0.581 0.904 0.744
12 Te 0.742 0.742 0.256
13 Te 0.904 0.581 0.744

3.
Entry from Alexandria via LeMat-Bulk: BaClF after structural relaxation (PBEsol).

## Properties
- Formation energy (no corrections): -3.2686 eV per atom

abc: 4.365 4.365 7.193
angles: 90.00 90.00 90.00
Sites, in units of the cell vectors:
1 Ba 0.250 0.250 0.207
2 Ba 0.750 0.750 0.793
3 Cl 0.250 0.250 0.648
4 Cl 0.750 0.750 0.352
5 F 0.250 0.750 0.000
6 F 0.750 0.250 0.000

4.
Entry from Alexandria via LeMat-Bulk: YMoRh after structural relaxation (PBEsol).

## Properties
- ΔE_f: -0.032 eV/atom

abc: 6.225 6.225 6.225
angles: 151.35 151.35 40.96
Sites, in units of the cell vectors:
1 Y 0.000 0.000 0.000
2 Mo 0.306 0.306 0.000
3 Rh 0.690 0.690 0.000

5.
Entry from Alexandria via LeMat-Bulk: La2ScPb2 after structural relaxation (PBEsol).

## Properties
- ΔE_f: -0.560 eV/atom

abc: 7.963 7.963 4.747
angles: 90.00 90.00 90.00
Sites, in units of the cell vectors:
1 La 0.170 0.330 0.000
2 La 0.330 0.830 0.000
3 La 0.670 0.170 0.000
4 La 0.830 0.670 0.000
5 Sc 0.000 0.000 0.500
6 Sc 0.500 0.500 0.500
7 Pb 0.138 0.638 0.500
8 Pb 0.362 0.138 0.500
9 Pb 0.638 0.862 0.500
10 Pb 0.862 0.362 0.500

6.
Entry from Alexandria via LeMat-Bulk: YFe3Se after structural relaxation (PBEsol).

## Properties
- Formation energy (no corrections): 1.8324 eV per atom

abc: 4.615 4.615 4.615
angles: 90.00 90.00 90.00
Sites, in units of the cell vectors:
1 Y 0.000 0.000 0.000
2 Fe 0.000 0.000 0.500
3 Fe 0.000 0.500 0.000
4 Fe 0.500 0.000 0.000
5 Se 0.500 0.500 0.500

7.
Entry from Alexandria via LeMat-Bulk: GaOsPd3 after structural relaxation (PBEsol).

## Properties
- ΔE_f: 1.180 eV/atom

abc: 4.456 4.456 4.456
angles: 90.00 90.00 90.00
Sites, in units of the cell vectors:
1 Ga 0.000 0.000 0.000
2 Os 0.500 0.500 0.500
3 Pd 0.000 0.000 0.500
4 Pd 0.000 0.500 0.000
5 Pd 0.500 0.000 0.000

8.
Entry from Alexandria via LeMat-Bulk: RbHg2Te after structural relaxation (PBEsol).

## Properties
- Formation energy (no corrections): -0.2838 eV per atom

abc: 5.546 5.546 5.546
angles: 60.00 60.00 60.00
Sites, in units of the cell vectors:
1 Rb 0.000 0.000 0.000
2 Hg 0.250 0.250 0.250
3 Hg 0.750 0.750 0.750
4 Te 0.500 0.500 0.500

9.
Entry from Alexandria via LeMat-Bulk: Cr2PtRh after structural relaxation (PBEsol).

## Properties
- ΔE_f: -0.168 eV/atom

abc: 2.625 4.177 4.617
angles: 90.00 90.00 90.00
Sites, in units of the cell vectors:
1 Cr 0.000 0.000 0.000
2 Cr 0.000 0.500 0.318
3 Pt 0.500 0.500 0.831
4 Rh 0.500 0.000 0.475

10.
Entry from Alexandria via LeMat-Bulk: FeRuRh2 after structural relaxation (PBEsol).

## Properties
- ΔE_f: 0.058 eV/atom

abc: 4.556 4.556 4.556
angles: 131.82 131.82 70.52
Sites, in units of the cell vectors:
1 Fe 0.000 0.000 0.000
2 Ru 0.750 0.250 0.500
3 Rh 0.250 0.750 0.500
4 Rh 0.500 0.500 0.000

11.
Entry from Alexandria via LeMat-Bulk: Ba3SrSe after structural relaxation (PBEsol).

## Properties
- Formation energy (no corrections): -0.7009 eV per atom

abc: 6.402 6.402 6.402
angles: 90.00 90.00 90.00
Sites, in units of the cell vectors:
1 Ba 0.000 0.000 0.500
2 Ba 0.000 0.500 0.000
3 Ba 0.500 0.000 0.000
4 Sr 0.500 0.500 0.500
5 Se 0.000 0.000 0.000

12.
Entry from Alexandria via LeMat-Bulk: CaTcS2 after structural relaxation (PBEsol).

## Properties
- Formation energy (no corrections): -0.6313 eV per atom

abc: 4.448 4.448 4.448
angles: 60.00 60.00 60.00
Sites, in units of the cell vectors:
1 Ca 0.000 0.000 0.000
2 Tc 0.500 0.500 0.500
3 S 0.250 0.250 0.250
4 S 0.750 0.750 0.750

13.
Entry from Alexandria via LeMat-Bulk: Li2TlHg after structural relaxation (PBEsol).

## Properties
- ΔE_f: -0.319 eV/atom

abc: 4.792 4.792 4.792
angles: 60.00 60.00 60.00
Sites, in units of the cell vectors:
1 Li 0.000 0.000 0.000
2 Li 0.250 0.250 0.250
3 Tl 0.750 0.750 0.750
4 Hg 0.500 0.500 0.500

14.
Entry from Alexandria via LeMat-Bulk: TcPd2Au2 after structural relaxation (PBEsol).

## Properties
- ΔE_f: 0.654 eV/atom

abc: 7.090 7.090 7.090
angles: 150.37 150.37 42.39
Sites, in units of the cell vectors:
1 Tc 0.000 0.000 0.000
2 Pd 0.250 0.750 0.500
3 Pd 0.750 0.250 0.500
4 Au 0.401 0.401 0.000
5 Au 0.599 0.599 0.000

15.
Entry from Alexandria via LeMat-Bulk: Na2AgHg2 after structural relaxation (PBEsol).

## Properties
- ΔE_f: -0.120 eV/atom

abc: 7.239 7.239 4.616
angles: 90.00 90.00 90.00
Sites, in units of the cell vectors:
1 Na 0.171 0.329 0.000
2 Na 0.329 0.829 0.000
3 Na 0.671 0.171 0.000
4 Na 0.829 0.671 0.000
5 Ag 0.000 0.000 0.500
6 Ag 0.500 0.500 0.500
7 Hg 0.140 0.640 0.500
8 Hg 0.360 0.140 0.500
9 Hg 0.640 0.860 0.500
10 Hg 0.860 0.360 0.500

16.
Entry from Alexandria via LeMat-Bulk: Tl2HgAs after structural relaxation (PBEsol).

## Properties
- ΔE_f: 0.097 eV/atom

abc: 6.756 6.756 6.756
angles: 100.32 100.32 129.92
Sites, in units of the cell vectors:
1 Tl 0.078 0.625 0.953
2 Tl 0.375 0.328 0.453
3 Tl 0.672 0.125 0.047
4 Tl 0.875 0.922 0.547
5 Hg 0.250 0.750 0.500
6 Hg 0.500 0.500 0.000
7 As 0.000 0.000 0.000
8 As 0.750 0.250 0.500

17.
Entry from Alexandria via LeMat-Bulk: BiHF2 after structural relaxation (PBEsol).

## Properties
- Calculated total energy: -4.277 eV/atom

abc: 6.588 6.588 6.588
angles: 28.84 28.84 28.84
Sites, in units of the cell vectors:
1 Bi 0.000 0.000 0.000
2 H 0.500 0.500 0.500
3 F 0.439 0.439 0.439
4 F 0.561 0.561 0.561

18.
Entry from Alexandria via LeMat-Bulk: Ba2MnBe after structural relaxation (PBEsol).

## Properties
- ΔE_f: 0.558 eV/atom

abc: 4.289 6.476 6.476
angles: 43.28 90.00 90.00
Sites, in units of the cell vectors:
1 Ba 0.000 0.000 0.000
2 Ba 0.500 0.288 0.288
3 Mn 0.500 0.610 0.610
4 Be 0.000 0.687 0.687

19.
Entry from Alexandria via LeMat-Bulk: ScBTeI2 after structural relaxation (PBEsol).

## Properties
- Formation energy (no corrections): 0.4871 eV per atom

abc: 5.549 5.549 5.624
angles: 90.00 90.00 90.00
Sites, in units of the cell vectors:
1 Sc 0.000 0.000 0.000
2 B 0.500 0.500 0.500
3 Te 0.000 0.000 0.500
4 I 0.000 0.500 0.000
5 I 0.500 0.000 0.000

20.
Entry from Alexandria via LeMat-Bulk: Ca3YPt after structural relaxation (PBEsol).

## Properties
- ΔE_f: -0.211 eV/atom

abc: 5.503 5.503 5.503
angles: 90.00 90.00 90.00
Sites, in units of the cell vectors:
1 Ca 0.000 0.000 0.500
2 Ca 0.000 0.500 0.000
3 Ca 0.500 0.000 0.000
4 Y 0.500 0.500 0.500
5 Pt 0.000 0.000 0.000

21.
Entry from Alexandria via LeMat-Bulk: TcTeOs2 after structural relaxation (PBEsol).

## Properties
- Formation energy (no corrections): 0.7513 eV per atom

abc: 2.935 4.606 4.615
angles: 90.00 90.00 90.00
Sites, in units of the cell vectors:
1 Tc 0.000 0.000 0.000
2 Te 0.500 0.500 0.000
3 Os 0.000 0.500 0.500
4 Os 0.500 0.000 0.500

22.
Entry from Alexandria via LeMat-Bulk: Na3Mg after structural relaxation (PBEsol).

## Properties
- ΔE_f: 0.456 eV/atom

abc: 6.203 6.203 6.203
angles: 90.00 90.00 90.00
Sites, in units of the cell vectors:
1 Na 0.000 0.000 0.500
2 Na 0.000 0.500 0.000
3 Na 0.500 0.000 0.000
4 Mg 0.000 0.000 0.000

23.
Entry from Alexandria via LeMat-Bulk: FeAg2IrRh after structural relaxation (PBEsol).

## Properties
- ΔE_f: 1.771 eV/atom

abc: 4.858 4.858 4.547
angles: 90.00 90.00 90.00
Sites, in units of the cell vectors:
1 Fe 0.000 0.000 0.000
2 Ag 0.000 0.500 0.500
3 Ag 0.500 0.000 0.500
4 Ir 0.500 0.500 0.000
5 Rh 0.500 0.500 0.500

24.
Entry from Alexandria via LeMat-Bulk: LiCa2Mo after structural relaxation (PBEsol).

## Properties
- ΔE_f: 0.731 eV/atom

abc: 5.233 5.233 5.233
angles: 60.00 60.00 60.00
Sites, in units of the cell vectors:
1 Li 0.000 0.000 0.000
2 Ca 0.250 0.250 0.250
3 Ca 0.750 0.750 0.750
4 Mo 0.500 0.500 0.500

25.
Entry from Alexandria via LeMat-Bulk: LaZn2Pt after structural relaxation (PBEsol).

## Properties
- ΔE_f: -0.512 eV/atom

abc: 3.833 4.685 4.727
angles: 90.00 98.71 90.00
Sites, in units of the cell vectors:
1 La 0.000 0.000 0.000
2 Zn 0.433 0.500 0.737
3 Zn 0.567 0.500 0.263
4 Pt 0.500 0.000 0.500

26.
Entry from Alexandria via LeMat-Bulk: LiPtPb after structural relaxation (PBEsol).

## Properties
- ΔE_f: -0.361 eV/atom

abc: 4.944 4.944 4.944
angles: 138.68 138.68 59.87
Sites, in units of the cell vectors:
1 Li 0.000 0.000 0.000
2 Pt 0.350 0.350 0.000
3 Pb 0.680 0.680 0.000

27.
Entry from Alexandria via LeMat-Bulk: Ba3La2Cl12 after structural relaxation (PBEsol).

## Properties
- Formation energy (no corrections): -2.4547 eV per atom

abc: 11.389 11.389 7.064
angles: 90.00 90.00 90.00
Sites, in units of the cell vectors:
1 Ba 0.000 0.000 0.000
2 Ba 0.180 0.320 0.500
3 Ba 0.320 0.820 0.500
4 Ba 0.500 0.500 0.000
5 Ba 0.680 0.180 0.500
6 Ba 0.820 0.680 0.500
7 La 0.134 0.634 0.000
8 La 0.366 0.134 0.000
9 La 0.634 0.866 0.000
10 La 0.866 0.366 0.000
11 Cl 0.000 0.500 0.265
12 Cl 0.000 0.500 0.735
13 Cl 0.065 0.794 0.273
14 Cl 0.065 0.794 0.727
15 Cl 0.181 0.319 0.000
16 Cl 0.206 0.065 0.273
17 Cl 0.206 0.065 0.727
18 Cl 0.294 0.565 0.273
19 Cl 0.294 0.565 0.727
20 Cl 0.319 0.819 0.000
21 Cl 0.435 0.294 0.273
22 Cl 0.435 0.294 0.727
23 Cl 0.500 0.000 0.265
24 Cl 0.500 0.000 0.735
25 Cl 0.565 0.706 0.273
26 Cl 0.565 0.706 0.727
27 Cl 0.681 0.181 0.000
28 Cl 0.706 0.435 0.273
29 Cl 0.706 0.435 0.727
30 Cl 0.794 0.935 0.273
31 Cl 0.794 0.935 0.727
32 Cl 0.819 0.681 0.000
33 Cl 0.935 0.206 0.273
34 Cl 0.935 0.206 0.727